Material: Ho2PaRuO8
Method: DFT, GGA-PBE
State: relaxed

**Crystal system**: orthorhombic
**Energy relative to the elements, uncorrected**: -2.7678 eV per atom

The structure in POSCAR format:
```
Ho2PaRuO8
1.0
5.012 -0.073 -0.003
-0.052 5.012 -0.006
0.004 0.008 6.751
Ru O Ho Pa
1 8 2 1
Direct
0.000 0.000 0.000
0.819 0.182 0.770
0.181 0.818 0.770
0.721 0.721 0.000
0.181 0.818 0.230
0.301 0.301 0.500
0.279 0.279 0.000
0.819 0.182 0.230
0.699 0.699 0.500
0.500 0.500 0.240
0.500 0.500 0.760
0.000 0.000 0.500
```


Material: LiDy4B3Pt12
Method: DFT, GGA-PBE
State: relaxed

**Crystal system**: cubic
**Calculated formation energy**: -0.739 eV per atom

The structure in POSCAR format:
```
LiDy4B3Pt12
1.0
-2.541 4.066 -5.839
-2.415 -7.129 -0.654
-2.599 2.957 6.449
B Pt Dy Li
3 12 4 1
Direct
0.000 0.500 0.500
0.500 0.500 0.000
0.500 0.000 0.500
0.737 0.737 0.000
0.750 0.500 0.250
0.000 0.263 0.263
0.250 0.750 0.500
0.737 0.000 0.737
0.263 0.000 0.263
0.000 0.737 0.737
0.500 0.250 0.750
0.250 0.500 0.750
0.750 0.250 0.500
0.500 0.750 0.250
0.263 0.263 0.000
0.000 0.500 0.000
0.500 0.500 0.500
0.500 0.000 0.000
0.000 0.000 0.500
0.000 0.000 0.000
```


Material: ThMg6Hg4
Method: DFT, GGA-PBE
State: relaxed

**Crystal system**: hexagonal
**Calculated formation energy**: -0.197 eV per atom

The structure in POSCAR format:
```
ThMg6Hg4
1.0
-3.496 0.556 -2.306
3.221 -4.790 -6.037
-4.562 -3.454 6.084
Hg Mg Th
4 6 1
Direct
0.000 0.333 0.667
0.500 0.818 0.182
0.500 0.365 0.182
0.500 0.818 0.635
0.000 0.534 0.067
0.000 0.534 0.466
0.500 0.204 0.796
0.000 0.933 0.466
0.500 0.204 0.408
0.500 0.592 0.796
0.000 0.000 0.000
```


Material: MgNp4S5
Method: DFT, GGA-PBE
State: relaxed

**Crystal system**: tetragonal
**Energy relative to the elements, uncorrected**: -1.2746 eV per atom

The structure in POSCAR format:
```
MgNp4S5
1.0
4.968 0.000 2.396
2.484 6.132 1.198
-0.180 0.000 6.721
Mg S Np
1 5 4
Direct
0.001 0.000 0.000
0.902 0.389 0.808
0.501 0.000 0.000
0.100 0.611 0.192
0.710 0.192 0.389
0.292 0.808 0.611
0.599 0.600 0.204
0.403 0.400 0.796
0.199 0.204 0.400
0.803 0.796 0.600
```